Entry 1:
Computed, not measured: a geometry-optimized VIn2SnCl6 structure at the PBE level of DFT.

Its calculated volume is 29.63 Å³ per atom. As for the raw formation energy: -929.0 meV/atom. The calculation puts the raw total energy at -3.90 eV per atom.

The space group is Pmmn (No. 59, origin choice 2) and the conventional cell measures 7.232, 10.511 and 7.796 Å, with angles of 90.00, 90.00 and 90.00 degrees. The inequivalent atoms are V at (0.250, 0.250, 0.229), In at (0.250, 0.543, 0.818), Sn at (0.250, 0.750, 0.295), Cl at (0.003, 0.250, 0.008), Cl at (0.003, 0.250, 0.450) and Cl at (0.250, 0.014, 0.216).

=====

Entry 2:
Computed, not measured: a geometry-optimized Fe2ReBr structure at the PBE level of DFT.

Its calculated volume is 15.46 Å³ per atom. As for the raw formation energy: 648.6 meV/atom. The calculation puts the raw total energy at -7.11 eV per atom. The calculation puts the density of states at the Fermi level at 1.298 states/eV per atom. The energy above the most stable polymorph in this dataset is 0.39 eV per formula unit.

The space group is Cmmm (No. 65) and the conventional cell measures 3.087, 4.762 and 8.412 Å, with angles of 90.00, 90.00 and 90.00 degrees. The inequivalent atoms are Fe at (0.000, 0.000, 0.236), Re at (0.000, 0.500, 0.000) and Br at (0.000, 0.500, 0.500).

=====

Entry 3:
Computed, not measured: a geometry-optimized ReAuO2F structure at the PBE level of DFT.

Its calculated volume is 15.23 Å³ per atom. As for the raw formation energy: -870.8 meV/atom. The calculation puts the raw total energy at -6.37 eV per atom. The calculation puts the density of states at the Fermi level at 0.512 states/eV per atom.

The space group is P4/mmm (No. 123) and the conventional cell measures 3.720, 3.720 and 5.502 Å, with angles of 90.00, 90.00 and 90.00 degrees. The inequivalent atoms are Re at (0.000, 0.000, 0.000), Au at (0.000, 0.000, 0.500), O at (0.000, 0.500, 0.000) and F at (0.500, 0.500, 0.500).

=====

Entry 4:
Computed, not measured: a geometry-optimized YPbS2 structure at the PBE level of DFT.

Its calculated volume is 25.72 Å³ per atom. As for the raw formation energy: -1309.7 meV/atom. The calculation puts the raw total energy at -5.92 eV per atom. The calculation puts the density of states at the Fermi level at 0.143 states/eV per atom.

The space group is R3m (No. 160, hexagonal axes) and the conventional cell measures 3.8708, 3.8708 and 23.7920 Å, with angles of 90.00, 90.00 and 120.00 degrees. The inequivalent atoms are Y at (0.0000, 0.0000, 0.0000), Pb at (0.0000, 0.0000, 0.8333), S at (0.0000, 0.0000, 0.3991) and S at (0.0000, 0.0000, 0.6003).

=====

Entry 5:
Computed, not measured: a geometry-optimized Ca7In2Au2 structure at the PBE level of DFT.

Its calculated volume is 33.28 Å³ per atom. The calculation puts the raw total energy at -2.77 eV per atom. The calculation puts the density of states at the Fermi level at 0.794 states/eV per atom.

The space group is Cmmm (No. 65) and the conventional cell measures 8.391, 11.618 and 7.510 Å, with angles of 90.00, 90.00 and 90.00 degrees. The inequivalent atoms are Ca at (0.000, 0.000, 0.000), Ca at (0.000, 0.500, 0.248), Ca at (0.250, 0.250, 0.265), In at (0.173, 0.000, 0.500) and Au at (0.000, 0.292, 0.000).

=====

Entry 6:
Computed, not measured: a geometry-optimized YZr2ScH structure at the PBE level of DFT.

Its calculated volume is 20.13 Å³ per atom. The calculation puts the raw total energy at -6.74 eV per atom. The calculation puts the density of states at the Fermi level at 1.184 states/eV per atom. The energy above the most stable polymorph in this dataset is 0.03 eV per formula unit.

The space group is P4/mmm (No. 123) and the conventional cell measures 4.598, 4.598 and 4.759 Å, with angles of 90.00, 90.00 and 90.00 degrees. The inequivalent atoms are Y at (0.000, 0.000, 0.000), Zr at (0.000, 0.500, 0.500), Sc at (0.500, 0.500, 0.000) and H at (0.500, 0.500, 0.500).

=====

Entry 7:
Computed, not measured: a geometry-optimized Cs2Pt7Pb12 structure at the PBE level of DFT.

Its calculated volume is 26.90 Å³ per atom. The calculation puts the raw total energy at -4.38 eV per atom. The calculation puts the density of states at the Fermi level at 0.605 states/eV per atom.

The space group is P-6 (No. 174) and the conventional cell measures 11.8325, 11.8325 and 4.6582 Å, with angles of 90.00, 90.00 and 120.00 degrees. The inequivalent atoms are Cs at (0.0000, 0.0000, 0.0000), Cs at (0.3333, 0.6667, 0.5000), Pt at (0.0699, 0.4238, 0.0000), Pt at (0.2889, 0.2561, 0.5000), Pt at (0.6667, 0.3333, 0.0000), Pb at (0.0568, 0.2753, 0.5000), Pb at (0.1074, 0.6872, 0.0000), Pb at (0.3846, 0.1860, 0.0000) and Pb at (0.5581, 0.1210, 0.5000).

=====

Entry 8:
Computed, not measured: a geometry-optimized LiB2C2 structure at the PBE level of DFT.

Its calculated volume is 9.23 Å³ per atom. The calculation puts the raw total energy at -6.78 eV per atom. The calculation puts the density of states at the Fermi level at 0.155 states/eV per atom. The energy above the most stable polymorph in this dataset is 0.16 eV per formula unit.

The space group is P-1 (No. 2) and the conventional cell measures 4.722, 5.364 and 7.754 Å, with angles of 99.97, 107.16 and 90.02 degrees. The inequivalent atoms are Li at (0.000, 0.000, 0.000), Li at (0.000, 0.500, 0.000), Li at (0.254, 0.146, 0.500), B at (0.035, 0.188, 0.746), B at (0.039, 0.686, 0.749), B at (0.461, 0.559, 0.243), B at (0.464, 0.062, 0.245), C at (0.204, 0.937, 0.745), C at (0.210, 0.438, 0.751), C at (0.285, 0.309, 0.242) and C at (0.292, 0.812, 0.249).

=====

Entry 9:
Computed, not measured: a geometry-optimized Fe2CoP structure at the PBE level of DFT.

Its calculated volume is 10.86 Å³ per atom. The calculation puts the raw total energy at -7.54 eV per atom. The calculation puts the density of states at the Fermi level at 0.876 states/eV per atom.

The space group is Imm2 (No. 44) and the conventional cell measures 2.709, 3.983 and 8.049 Å, with angles of 90.00, 90.00 and 90.00 degrees. The inequivalent atoms are Fe at (0.000, 0.000, 0.000), Fe at (0.000, 0.500, 0.216), Co at (0.000, 0.000, 0.440) and P at (0.000, 0.500, 0.723).

=====

Entry 10:
Computed, not measured: a geometry-optimized Er5ScSn3 structure at the PBE level of DFT.

Its calculated volume is 27.58 Å³ per atom. The calculation puts the raw total energy at -4.80 eV per atom. The calculation puts the density of states at the Fermi level at 1.331 states/eV per atom.

The space group is I4/mcm (No. 140) and the conventional cell measures 7.704, 7.704 and 16.726 Å, with angles of 90.00, 90.00 and 90.00 degrees. The inequivalent atoms are Er at (0.000, 0.000, 0.000), Er at (0.205, 0.295, 0.138), Sc at (0.000, 0.500, 0.250), Sn at (0.000, 0.000, 0.250) and Sn at (0.125, 0.375, 0.500).

=====

Entry 11:
Computed, not measured: a geometry-optimized Zr2Pa3NbN6 structure at the PBE level of DFT.

Its calculated volume is 13.38 Å³ per atom. As for the raw formation energy: -1546.6 meV/atom. The calculation puts the raw total energy at -10.35 eV per atom. The calculation puts the density of states at the Fermi level at 0.601 states/eV per atom.

The space group is C2/m (No. 12) and the conventional cell measures 5.768, 9.990 and 5.896 Å, with angles of 90.00, 109.06 and 90.00 degrees. The inequivalent atoms are Zr at (0.000, 0.167, 0.000), Pa at (0.000, 0.000, 0.500), Pa at (0.000, 0.333, 0.500), Nb at (0.000, 0.500, 0.000), N at (0.242, 0.335, 0.229) and N at (0.246, 0.000, 0.230).

=====

Entry 12:
Computed, not measured: a geometry-optimized Al3ReSi structure at the PBE level of DFT.

Its calculated volume is 19.29 Å³ per atom. As for the raw formation energy: 1306.7 meV/atom. The calculation puts the raw total energy at -4.51 eV per atom. The calculation puts the density of states at the Fermi level at 1.186 states/eV per atom. The energy above the most stable polymorph in this dataset is 3.13 eV per formula unit.

The space group is Pm-3m (No. 221) and the conventional cell measures 4.586, 4.586 and 4.586 Å, with angles of 90.00, 90.00 and 90.00 degrees. The inequivalent atoms are Al at (0.000, 0.000, 0.500), Re at (0.500, 0.500, 0.500) and Si at (0.000, 0.000, 0.000).

=====

- Number 1 is which compound?
  VIn2SnCl6

=====

- Which value of calculated volume does entry 2 give?
  15.46 Å³ per atom

=====

- The highest raw total energy belongs to which entry?
  Ca7In2Au2

=====

- Among the records above, which one has the highest raw total energy?
  Ca7In2Au2